(1)
The following is a PBE calculation of crystalline ThNpPbO6 at its relaxed geometry, from the Alexandria database.

Energy: -8.676 eV per atom
Magnetization: 1.0 μB per formula unit

```
data_ThNpPbO6
_chemical_formula_sum 'Th2 Np2 Pb2 O12'
_cell_length_a 6.0708
_cell_length_b 6.0708
_cell_length_c 9.8739
_cell_angle_alpha 90.00
_cell_angle_beta 90.00
_cell_angle_gamma 120.00
_symmetry_space_group_name_H-M 'P -3 1 c'
_symmetry_Int_Tables_number 163
_symmetry_space_group_name_Hall '-P 3 2c'
loop_
_atom_site_label
_atom_site_fract_x
_atom_site_fract_y
_atom_site_fract_z
Th1 0.3333 0.6667 0.2500
Np1 0.3333 0.6667 0.7500
Pb1 0.0000 0.0000 0.0000
O1 0.0294 0.3814 0.6420
```

---

(2)
The following is a PBE calculation of crystalline La6SeBr8 at its relaxed geometry, from the Alexandria database.

Density of states at the Fermi level: 17.4 states/eV per cell
Energy: -4.796 eV per atom
Magnetization: 0.0 μB per formula unit

```
data_La6SeBr8
_chemical_formula_sum 'La18 Se3 Br24'
_cell_length_a 7.4427
_cell_length_b 7.4427
_cell_length_c 31.9429
_cell_angle_alpha 90.00
_cell_angle_beta 90.00
_cell_angle_gamma 120.00
_symmetry_space_group_name_H-M 'R -3'
_symmetry_Int_Tables_number 148
_symmetry_space_group_name_Hall '-R 3'
loop_
_atom_site_label
_atom_site_fract_x
_atom_site_fract_y
_atom_site_fract_z
La1 0.9999 0.3277 0.4477
Se1 0.0000 0.0000 0.5000
Br1 0.0000 0.0000 0.1667
Br2 0.0000 0.3340 0.6097
```

---

(3)
The following is a PBE calculation of crystalline SeS2NCl at its relaxed geometry, from the Alexandria database.

Density of states at the Fermi level: 5.4 states/eV per cell
Energy: -2.833 eV per atom
E above lowest polymorph: 0.266 eV per atom
Magnetization: 2.2 μB per formula unit

```
data_SeS2NCl
_chemical_formula_sum 'Se1 S2 N1 Cl1'
_cell_length_a 4.8497
_cell_length_b 4.8497
_cell_length_c 5.1228
_cell_angle_alpha 90.00
_cell_angle_beta 90.00
_cell_angle_gamma 90.00
_symmetry_space_group_name_H-M 'P 4/m m m'
_symmetry_Int_Tables_number 123
_symmetry_space_group_name_Hall '-P 4 2'
loop_
_atom_site_label
_atom_site_fract_x
_atom_site_fract_y
_atom_site_fract_z
Se1 0.0000 0.0000 0.0000
S1 0.0000 0.5000 0.0000
N1 0.5000 0.5000 0.5000
Cl1 0.0000 0.0000 0.5000
```

---

(4)
The following is a PBE calculation of crystalline Sr4LaTi5O15 at its relaxed geometry, from the Alexandria database.

Density of states at the Fermi level: 9.1 states/eV per cell
Energy: -8.193 eV per atom
Magnetization: 0.0 μB per formula unit

```
data_Sr4LaTi5O15
_chemical_formula_sum 'Sr8 La2 Ti10 O30'
_cell_length_a 16.7422
_cell_length_b 5.5830
_cell_length_c 6.8362
_cell_angle_alpha 90.00
_cell_angle_beta 105.77
_cell_angle_gamma 90.00
_symmetry_space_group_name_H-M 'C 1 2/m 1'
_symmetry_Int_Tables_number 12
loop_
_symmetry_equiv_pos_as_xyz
'x,y,z'
'-x,-y,-z'
'-x,y,-z'
'x,-y,z'
'x+1/2,y+1/2,z'
'-x+1/2,-y+1/2,-z'
'-x+1/2,y+1/2,-z'
'x+1/2,-y+1/2,z'
loop_
_atom_site_label
_atom_site_fract_x
_atom_site_fract_y
_atom_site_fract_z
Sr1 0.1005 0.0000 0.3999
Sr2 0.2000 0.5000 0.8002
La1 0.0000 0.5000 0.0000
Ti1 0.0000 0.5000 0.5000
Ti2 0.1006 0.0000 0.9005
Ti3 0.2005 0.5000 0.3019
O1 0.0000 0.0000 0.0000
O2 0.0489 0.2532 0.7047
O3 0.0988 0.5000 0.3972
O4 0.1462 0.2538 0.0997
O5 0.2010 0.0000 0.8048
O6 0.2500 0.2500 0.5000
```

---

(5)
The following is a PBE calculation of crystalline Pr2TaGaN5 at its relaxed geometry, from the Alexandria database.

Density of states at the Fermi level: 22.1 states/eV per cell
Energy: -8.208 eV per atom
Magnetization: 0.4 μB per formula unit

```
data_Pr2TaGaN5
_chemical_formula_sum 'Pr8 Ta4 Ga4 N20'
_cell_length_a 3.3127
_cell_length_b 14.0760
_cell_length_c 10.3631
_cell_angle_alpha 90.00
_cell_angle_beta 90.00
_cell_angle_gamma 90.00
_symmetry_space_group_name_H-M 'C m c 21'
_symmetry_Int_Tables_number 36
loop_
_symmetry_equiv_pos_as_xyz
'x,y,z'
'-x,-y,z+1/2'
'-x,y,z'
'x,-y,z+1/2'
'x+1/2,y+1/2,z'
'-x+1/2,-y+1/2,z+1/2'
'-x+1/2,y+1/2,z'
'x+1/2,-y+1/2,z+1/2'
loop_
_atom_site_label
_atom_site_fract_x
_atom_site_fract_y
_atom_site_fract_z
Pr1 0.0000 0.1150 0.0000
Pr2 0.0000 0.1295 0.5872
Ta1 0.0000 0.2196 0.3000
Ga1 0.0000 0.4870 0.7709
N1 0.0000 0.0609 0.3389
N2 0.0000 0.2869 0.9361
N3 0.0000 0.2989 0.6719
N4 0.0000 0.3618 0.3007
N5 0.0000 0.4994 0.5827
```

---

(6)
The following is a PBE calculation of crystalline NpBeF5 at its relaxed geometry, from the Alexandria database.

Density of states at the Fermi level: 26.7 states/eV per cell
Energy: -7.051 eV per atom
Magnetization: 4.0 μB per formula unit

```
data_NpBeF5
_chemical_formula_sum 'Np4 Be4 F20'
_cell_length_a 8.4729
_cell_length_b 7.8222
_cell_length_c 8.3903
_cell_angle_alpha 90.00
_cell_angle_beta 117.45
_cell_angle_gamma 90.00
_symmetry_space_group_name_H-M 'C 1 2/c 1'
_symmetry_Int_Tables_number 15
loop_
_symmetry_equiv_pos_as_xyz
'x,y,z'
'-x,-y,-z'
'-x,y,-z+1/2'
'x,-y,z+1/2'
'x+1/2,y+1/2,z'
'-x+1/2,-y+1/2,-z'
'-x+1/2,y+1/2,-z+1/2'
'x+1/2,-y+1/2,z+1/2'
loop_
_atom_site_label
_atom_site_fract_x
_atom_site_fract_y
_atom_site_fract_z
Np1 0.2500 0.2500 0.0000
Be1 0.0000 0.1407 0.2500
F1 0.0000 0.3386 0.7500
F2 0.0920 0.2523 0.1629
F3 0.1432 0.0224 0.3980
```

---

(7)
The following is a PBE calculation of crystalline Ac2DyHg2 at its relaxed geometry, from the Alexandria database.

Density of states at the Fermi level: 14.2 states/eV per cell
Energy: -3.018 eV per atom
E above lowest polymorph: 0.000 eV per atom
ΔE_f: -0.33 eV/atom
Magnetization: 0.0 μB per formula unit

```
data_Ac2DyHg2
_chemical_formula_sum 'Ac4 Dy2 Hg4'
_cell_length_a 8.1058
_cell_length_b 8.1058
_cell_length_c 5.1072
_cell_angle_alpha 90.00
_cell_angle_beta 90.00
_cell_angle_gamma 90.00
_symmetry_space_group_name_H-M 'P 4/m b m'
_symmetry_Int_Tables_number 127
_symmetry_space_group_name_Hall '-P 4 2ab'
loop_
_atom_site_label
_atom_site_fract_x
_atom_site_fract_y
_atom_site_fract_z
Ac1 0.1708 0.3292 0.0000
Dy1 0.0000 0.0000 0.5000
Hg1 0.1343 0.6343 0.5000
```

---

(8)
The following is a PBE calculation of crystalline CaPCS2 at its relaxed geometry, from the Alexandria database.

Density of states at the Fermi level: 7.8 states/eV per cell
Energy: -2.957 eV per atom
E above lowest polymorph: 1.726 eV per atom
Magnetization: 2.5 μB per formula unit

```
data_CaPCS2
_chemical_formula_sum 'Ca1 P1 C1 S2'
_cell_length_a 5.1898
_cell_length_b 5.1898
_cell_length_c 5.4486
_cell_angle_alpha 90.00
_cell_angle_beta 90.00
_cell_angle_gamma 90.00
_symmetry_space_group_name_H-M 'P 4/m m m'
_symmetry_Int_Tables_number 123
_symmetry_space_group_name_Hall '-P 4 2'
loop_
_atom_site_label
_atom_site_fract_x
_atom_site_fract_y
_atom_site_fract_z
Ca1 0.0000 0.0000 0.0000
P1 0.0000 0.0000 0.5000
C1 0.5000 0.5000 0.5000
S1 0.0000 0.5000 0.0000
```

---

(9)
The following is a PBE calculation of crystalline CsTe2N at its relaxed geometry, from the Alexandria database.

Density of states at the Fermi level: 6.8 states/eV per cell
Energy: -3.687 eV per atom
E above lowest polymorph: 0.000 eV per atom
Magnetization: 0.7 μB per formula unit

```
data_CsTe2N
_chemical_formula_sum 'Cs4 Te8 N4'
_cell_length_a 6.4529
_cell_length_b 6.4529
_cell_length_c 13.1931
_cell_angle_alpha 90.00
_cell_angle_beta 90.00
_cell_angle_gamma 90.00
_symmetry_space_group_name_H-M 'I 41/a m d'
_symmetry_Int_Tables_number 141
loop_
_symmetry_equiv_pos_as_xyz
'x,y,z'
'-x,-y,-z'
'-y+1/4,x+3/4,z+1/4'
'y+1/4,-x+3/4,-z+1/4'
'-x+1/2,-y,z+1/2'
'x+1/2,y,-z+1/2'
'y+1/4,-x+1/4,z+3/4'
'-y+1/4,x+1/4,-z+3/4'
'x,-y,-z'
'-x,y,z'
'-y+1/4,-x+1/4,-z+3/4'
'y+1/4,x+1/4,z+3/4'
'-x+1/2,y,-z+1/2'
'x+1/2,-y,z+1/2'
'y+1/4,x+3/4,-z+1/4'
'-y+1/4,-x+3/4,z+1/4'
'x+1/2,y+1/2,z+1/2'
'-x+1/2,-y+1/2,-z+1/2'
'-y+3/4,x+1/4,z+3/4'
'y+3/4,-x+1/4,-z+3/4'
'-x,-y+1/2,z'
'x,y+1/2,-z'
'y+3/4,-x+3/4,z+1/4'
'-y+3/4,x+3/4,-z+1/4'
'x+1/2,-y+1/2,-z+1/2'
'-x+1/2,y+1/2,z+1/2'
'-y+3/4,-x+3/4,-z+1/4'
'y+3/4,x+3/4,z+1/4'
'-x,y+1/2,-z'
'x,-y+1/2,z'
'y+3/4,x+1/4,-z+3/4'
'-y+3/4,-x+1/4,z+3/4'
loop_
_atom_site_label
_atom_site_fract_x
_atom_site_fract_y
_atom_site_fract_z
Cs1 0.0000 0.2500 0.3750
Te1 0.0000 0.0000 0.0000
N1 0.0000 0.2500 0.8750
```

---

(10)
The following is a PBE calculation of crystalline FePt2Se at its relaxed geometry, from the Alexandria database.

Density of states at the Fermi level: 11.4 states/eV per cell
Energy: -5.913 eV per atom
Magnetization: 3.4 μB per formula unit

```
data_FePt2Se
_chemical_formula_sum 'Fe3 Pt6 Se3'
_cell_length_a 2.8656
_cell_length_b 2.8656
_cell_length_c 26.5786
_cell_angle_alpha 90.00
_cell_angle_beta 90.00
_cell_angle_gamma 120.00
_symmetry_space_group_name_H-M 'R -3 m'
_symmetry_Int_Tables_number 166
_symmetry_space_group_name_Hall '-R 3 2"'
loop_
_atom_site_label
_atom_site_fract_x
_atom_site_fract_y
_atom_site_fract_z
Fe1 0.0000 0.0000 0.0000
Pt1 0.0000 0.0000 0.2559
Se1 0.0000 0.0000 0.5000
```

---

(11)
The following is a PBE calculation of crystalline TaGaNO2 at its relaxed geometry, from the Alexandria database.

Density of states at the Fermi level: 1.0 states/eV per cell
Energy: -7.911 eV per atom
Magnetization: 0.0 μB per formula unit

```
data_TaGaNO2
_chemical_formula_sum 'Ta1 Ga1 N1 O2'
_cell_length_a 3.9308
_cell_length_b 3.9308
_cell_length_c 4.2577
_cell_angle_alpha 90.00
_cell_angle_beta 90.00
_cell_angle_gamma 90.00
_symmetry_space_group_name_H-M 'P 4/m m m'
_symmetry_Int_Tables_number 123
_symmetry_space_group_name_Hall '-P 4 2'
loop_
_atom_site_label
_atom_site_fract_x
_atom_site_fract_y
_atom_site_fract_z
Ta1 0.0000 0.0000 0.0000
Ga1 0.5000 0.5000 0.5000
N1 0.0000 0.0000 0.5000
O1 0.0000 0.5000 0.0000
```

---

(12)
The following is a PBE calculation of crystalline Np4Tl3Se8 at its relaxed geometry, from the Alexandria database.

Density of states at the Fermi level: 61.1 states/eV per cell
Energy: -6.577 eV per atom
Magnetization: 8.3 μB per formula unit

```
data_Np4Tl3Se8
_chemical_formula_sum 'Np8 Tl6 Se16'
_cell_length_a 12.1696
_cell_length_b 12.2567
_cell_length_c 8.4479
_cell_angle_alpha 90.00
_cell_angle_beta 132.95
_cell_angle_gamma 90.00
_symmetry_space_group_name_H-M 'C 1 2/m 1'
_symmetry_Int_Tables_number 12
loop_
_symmetry_equiv_pos_as_xyz
'x,y,z'
'-x,-y,-z'
'-x,y,-z'
'x,-y,z'
'x+1/2,y+1/2,z'
'-x+1/2,-y+1/2,-z'
'-x+1/2,y+1/2,-z'
'x+1/2,-y+1/2,z'
loop_
_atom_site_label
_atom_site_fract_x
_atom_site_fract_y
_atom_site_fract_z
Np1 0.0000 0.0000 0.0000
Np2 0.0000 0.0000 0.5000
Np3 0.2500 0.2500 0.0000
Tl1 0.0000 0.5000 0.5000
Tl2 0.2500 0.2500 0.5000
Se1 0.0000 0.2334 0.0000
Se2 0.0000 0.2335 0.5000
Se3 0.2087 0.0000 0.4555
Se4 0.2297 0.0000 0.9760
```

---

(13)
The following is a PBE calculation of crystalline Be2ReRu3 at its relaxed geometry, from the Alexandria database.

Density of states at the Fermi level: 6.0 states/eV per cell
Energy: -8.118 eV per atom
ΔE_f: -0.16 eV/atom
Magnetization: 0.0 μB per formula unit

```
data_Be2ReRu3
_chemical_formula_sum 'Be2 Re1 Ru3'
_cell_length_a 2.8289
_cell_length_b 2.8289
_cell_length_c 9.0841
_cell_angle_alpha 90.00
_cell_angle_beta 90.00
_cell_angle_gamma 90.00
_symmetry_space_group_name_H-M 'P 4/m m m'
_symmetry_Int_Tables_number 123
_symmetry_space_group_name_Hall '-P 4 2'
loop_
_atom_site_label
_atom_site_fract_x
_atom_site_fract_y
_atom_site_fract_z
Be1 0.0000 0.0000 0.1483
Re1 0.0000 0.0000 0.5000
Ru1 0.5000 0.5000 0.0000
Ru2 0.5000 0.5000 0.3065
```

---

(14)
The following is a PBE calculation of crystalline NaB6C2 at its relaxed geometry, from the Alexandria database.

Density of states at the Fermi level: 2.5 states/eV per cell
Energy: -6.253 eV per atom
ΔE_f: 0.40 eV/atom
Magnetization: 0.0 μB per formula unit

```
data_NaB6C2
_chemical_formula_sum 'Na2 B12 C4'
_cell_length_a 5.5566
_cell_length_b 6.5846
_cell_length_c 4.6756
_cell_angle_alpha 90.00
_cell_angle_beta 105.09
_cell_angle_gamma 90.00
_symmetry_space_group_name_H-M 'C 1 2/m 1'
_symmetry_Int_Tables_number 12
loop_
_symmetry_equiv_pos_as_xyz
'x,y,z'
'-x,-y,-z'
'-x,y,-z'
'x,-y,z'
'x+1/2,y+1/2,z'
'-x+1/2,-y+1/2,-z'
'-x+1/2,y+1/2,-z'
'x+1/2,-y+1/2,z'
loop_
_atom_site_label
_atom_site_fract_x
_atom_site_fract_y
_atom_site_fract_z
Na1 0.0000 0.0000 0.0000
B1 0.0000 0.1424 0.5000
B2 0.1797 0.3143 0.3498
C1 0.0736 0.5000 0.1473
```

---

(15)
The following is a PBE calculation of crystalline ThAgPbN at its relaxed geometry, from the Alexandria database.

Density of states at the Fermi level: 1.7 states/eV per cell
Energy: -6.108 eV per atom
Magnetization: 0.0 μB per formula unit

```
data_ThAgPbN
_chemical_formula_sum 'Th2 Ag2 Pb2 N2'
_cell_length_a 3.4838
_cell_length_b 3.4838
_cell_length_c 14.7264
_cell_angle_alpha 90.00
_cell_angle_beta 90.00
_cell_angle_gamma 90.00
_symmetry_space_group_name_H-M 'I 4 m m'
_symmetry_Int_Tables_number 107
_symmetry_space_group_name_Hall 'I 4 -2'
loop_
_atom_site_label
_atom_site_fract_x
_atom_site_fract_y
_atom_site_fract_z
Th1 0.0000 0.0000 0.0000
Ag1 0.0000 0.0000 0.3335
Pb1 0.0000 0.0000 0.7100
N1 0.0000 0.0000 0.4899
```

---

(16)
The following is a PBE calculation of crystalline TbTmInHg at its relaxed geometry, from the Alexandria database.

Density of states at the Fermi level: 18.1 states/eV per cell
Energy: -3.488 eV per atom
ΔE_f: -0.45 eV/atom
Magnetization: 0.0 μB per formula unit

```
data_TbTmInHg
_chemical_formula_sum 'Tb4 Tm4 In4 Hg4'
_cell_length_a 7.4686
_cell_length_b 7.4686
_cell_length_c 7.4686
_cell_angle_alpha 90.00
_cell_angle_beta 90.00
_cell_angle_gamma 90.00
_symmetry_space_group_name_H-M 'F -4 3 m'
_symmetry_Int_Tables_number 216
_symmetry_space_group_name_Hall 'F -4 2 3'
loop_
_atom_site_label
_atom_site_fract_x
_atom_site_fract_y
_atom_site_fract_z
Tb1 0.0000 0.0000 0.0000
Tm1 0.0000 0.0000 0.5000
In1 0.2500 0.2500 0.7500
Hg1 0.2500 0.2500 0.2500
```